[1]
Entry from the Alexandria database: Ti3TlRu after structural relaxation (PBE).

## Properties
space-group type = No. 221
distance to the lowest polymorph of the same formula = 0 meV per atom
DFT formation energy = 0.316 eV/atom

Cell: 4.7315 4.7315 4.7315 Å, 90.00 90.00 90.00°
Closest atoms and distances in Å follow each position.
Fractional coordinates of all 5 atoms:
Ru  0.0000  0.0000  0.0000  6 Ti 2.37
Tl  0.5000  0.5000  0.5000  12 Ti 3.35
Ti  0.0000  0.5000  0.0000  2 Ru 2.37
Ti  0.0000  0.0000  0.5000  2 Ru 2.37
Ti  0.5000  0.0000  0.0000  2 Ru 2.37

---

[2]
Entry from the Alexandria database: Re2Cl after structural relaxation (PBE).

## Properties
space-group type = No. 58
raw formation energy = 0.93 eV/atom
distance to the lowest polymorph of the same formula = 753 meV per atom

Cell: 2.8948 4.1903 7.3266 Å, 90.00 90.00 90.00°
Closest atoms and distances in Å follow each position.
Fractional coordinates of all 6 atoms:
Re  0.7540  0.0000  0.3334  3 Cl 2.53-2.54, 5 Re 2.82-2.83
Re  0.2460  0.0000  0.6666  3 Cl 2.53-2.54, 5 Re 2.82-2.83
Re  0.2540  0.5000  0.1666  3 Cl 2.53-2.54, 5 Re 2.82-2.83
Re  0.7460  0.5000  0.8334  3 Cl 2.53-2.54, 5 Re 2.82-2.83
Cl  0.0000  0.0000  0.0000  6 Re 2.53-2.54
Cl  0.5000  0.5000  0.5000  6 Re 2.53-2.54

---

[3]
Entry from the Alexandria database: RbCr2Mo after structural relaxation (PBE).

## Properties
space-group type = No. 141
distance to the lowest polymorph of the same formula = 0 meV per atom
DFT formation energy = 1.564 eV/atom

Cell: 5.8499 5.8499 8.6170 Å, 70.16 70.16 90.00°
Closest atoms and distances in Å follow each position.
Fractional coordinates of all 8 atoms:
Cr  0.8749  0.1250  0.2500  2 Mo 2.39
Cr  0.8751  0.6250  0.2500  2 Mo 2.39
Cr  0.3750  0.1251  0.7500  2 Mo 2.39
Cr  0.8750  0.1249  0.7500  2 Mo 2.39
Mo  0.0000  0.0000  0.0000  4 Cr 2.39
Mo  0.7500  0.2500  0.5000  4 Cr 2.39
Rb  0.5000  0.5000  0.0000  8 Cr 3.78, 4 Mo 4.14
Rb  0.2500  0.7500  0.5000  8 Cr 3.78, 4 Mo 4.14

---

[4]
Entry from the Alexandria database: CaCo2Mo after structural relaxation (PBE).

## Properties
space-group type = No. 99
distance to the lowest polymorph of the same formula = 235 meV per atom
DFT formation energy = 0.453 eV/atom

Cell: 2.8179 2.8179 7.9972 Å, 90.00 90.00 90.01°
Closest atoms and distances in Å follow each position.
Fractional coordinates of all 4 atoms:
Mo  0.0000  0.0000  0.4444  4 Co 2.68, 4 Mo 2.82
Co  0.0000  0.0000  0.0579  4 Co 2.38
Co  0.5000  0.5000  0.2205  4 Co 2.38
Ca  0.5000  0.5000  0.7772  4 Ca 2.82, 4 Co 3.00

---

[5]
Entry from the Alexandria database: Tm7Zn2Hg2 after structural relaxation (PBE).

## Properties
space-group type = No. 65
DFT formation energy = -0.014 eV/atom

Cell: 6.5144 7.7005 6.5144 Å, 90.00 110.98 90.00°
Closest atoms and distances in Å follow each position.
Fractional coordinates of all 11 atoms:
Tm  0.0000  0.2928  0.4999  2 Hg 2.96, 2 Zn 3.18, 3 Tm 3.19-3.26
Tm  0.4999  0.7072  0.0000  2 Hg 2.96, 2 Zn 3.18, 3 Tm 3.19-3.26
Tm  0.0000  0.7072  0.5001  2 Hg 2.96, 2 Zn 3.18, 3 Tm 3.19-3.26
Tm  0.5001  0.2928  0.0000  2 Hg 2.96, 2 Zn 3.18, 3 Tm 3.19-3.26
Tm  0.0000  0.0000  0.0000  2 Hg 3.20
Tm  0.5000  0.7217  0.5000  2 Zn 2.98, 2 Hg 3.05, 4 Tm 3.26
Tm  0.5000  0.2783  0.5000  2 Zn 2.98, 2 Hg 3.05, 4 Tm 3.26
Zn  0.8307  0.5000  0.8307  1 Zn 2.50
Zn  0.1693  0.5000  0.1693  1 Zn 2.50
Hg  0.7018  0.0000  0.2982  7 Tm 2.96-3.20
Hg  0.2982  0.0000  0.7018  7 Tm 2.96-3.20

---

[6]
Entry from the Alexandria database: TbPr2PuSe5 after structural relaxation (PBE).

## Properties
space-group type = No. 123
raw formation energy = -1.22 eV/atom

Cell: 5.1254 5.1254 10.9497 Å, 90.00 90.00 90.00°
Closest atoms and distances in Å follow each position.
Fractional coordinates of all 9 atoms:
Tb  0.0000  0.0000  0.5000  6 Se 2.56-2.76
Pr  0.5000  0.5000  0.2882  5 Se 3.16-3.46
Pr  0.5000  0.5000  0.7118  5 Se 3.16-3.46
Pu  0.0000  0.0000  0.0000  2 Se 2.72
Se  0.0000  0.5000  0.5000  2 Tb 2.56
Se  0.5000  0.0000  0.5000  2 Tb 2.56
Se  0.0000  0.0000  0.7520  1 Pu 2.72, 1 Tb 2.76
Se  0.0000  0.0000  0.2480  1 Pu 2.72, 1 Tb 2.76
Se  0.5000  0.5000  0.0000  2 Pr 3.16

---

| no. | V (Å³ per cell) |
| --- | --- |
| 1 | 105.9 |
| 2 | 88.9 |
| 3 | 258.7 |
| 4 | 63.5 |
| 5 | 305.1 |
| 6 | 287.6 |